Compound: NpBeAl3
Source: Alexandria via LeMat-Bulk
Functional: PBE-GGA
Structure: optimized geometry

Cell lengths 4.0538, 4.0538, 10.5596 Å; angles 90.00, 90.00, 90.00 degrees
With the nearest neighbours (Å) after each atom.
Space group I4mm (No. 107)
One atom of each set of equivalent atoms:
Np1 0.0000 0.0000 0.0000 (multiplicity 2)  8 Al 3.05-3.23, 4 Be 3.12
Be1 0.0000 0.0000 0.3844 (multiplicity 2)  5 Al 2.27-2.41
Al1 0.0000 0.0000 0.5996 (multiplicity 2)  1 Be 2.27
Al2 0.0000 0.5000 0.2617 (multiplicity 4)  2 Be 2.41, 2 Al 2.65

## Properties
* energy: -28.227 eV per formula unit
* calculated formation energy: -6 kJ/mol of atoms

Compound: Pm2CuSi4Rh3
Source: Alexandria via LeMat-Bulk
Functional: PBE-GGA
Structure: optimized geometry

Cell lengths 4.1810, 4.1810, 9.8236 Å; angles 90.00, 90.00, 90.00 degrees
With the nearest neighbours (Å) after each atom.
Space group P-4m2 (No. 115)
One atom of each set of equivalent atoms:
Pm1 0.0000 0.5000 0.2463 (multiplicity 2)  6 Rh 3.19-3.25, 8 Si 3.20, 2 Cu 3.25
Cu1 0.0000 0.0000 0.5000 (multiplicity 1)  4 Si 2.45
Si1 0.0000 0.0000 0.0000 (multiplicity 1)  4 Rh 2.42
Si2 0.0000 0.5000 0.6301 (multiplicity 2)  3 Rh 2.41-2.45, 2 Cu 2.45
Si3 0.5000 0.5000 0.0000 (multiplicity 1)  4 Rh 2.42
Rh1 0.0000 0.5000 0.8750 (multiplicity 2)  5 Si 2.41-2.42
Rh2 0.5000 0.5000 0.5000 (multiplicity 1)  4 Si 2.45

## Properties
* energy: -66.282 eV per formula unit
* raw formation energy: -0.894 eV per atom

Compound: SrLuHgPt
Source: Alexandria via LeMat-Bulk
Functional: PBE-GGA
Structure: optimized geometry

Cell lengths 7.3225, 7.3225, 7.3225 Å; angles 90.00, 90.00, 90.00 degrees
With the nearest neighbours (Å) after each atom.
Space group F-43m (No. 216)
One atom of each set of equivalent atoms:
Sr1 0.0000 0.0000 0.0000 (multiplicity 4)  4 Pt 3.17, 4 Hg 3.17
Lu1 0.0000 0.0000 0.5000 (multiplicity 4)  4 Hg 3.17, 4 Pt 3.17
Hg1 0.2500 0.2500 0.2500 (multiplicity 4)  4 Sr 3.17, 4 Lu 3.17
Pt1 0.2500 0.2500 0.7500 (multiplicity 4)  4 Lu 3.17, 4 Sr 3.17

## Properties
* energy: -15.036 eV per formula unit
* calculated formation energy: -60 kJ/mol of atoms

Compound: La6ZnSe5
Source: Alexandria via LeMat-Bulk
Functional: PBE-GGA
Structure: optimized geometry

Cell lengths 7.5268, 13.0089, 7.4939 Å; angles 90.00, 109.47, 90.00 degrees
With the nearest neighbours (Å) after each atom.
Space group C2/m (No. 12)
One atom of each set of equivalent atoms:
La1 0.2487 0.0000 0.2508 (multiplicity 4)  5 Se 3.05-3.07, 1 Zn 3.08
La2 0.2490 0.1677 0.7494 (multiplicity 8)  5 Se 3.05-3.07, 1 Zn 3.08
Zn1 0.0000 0.5000 0.0000 (multiplicity 2)  6 La 3.08
Se1 0.0000 0.0000 0.5000 (multiplicity 2)  6 La 3.05-3.07
Se2 0.0000 0.1662 0.0000 (multiplicity 4)  6 La 3.06-3.07
Se3 0.0000 0.3331 0.5000 (multiplicity 4)  6 La 3.05-3.07

## Properties
* energy: -68.622 eV per formula unit
* raw formation energy: -1.697 eV per atom